Material: TlFeTeW
Method: DFT, PBE-GGA
State: optimized geometry

Values from the calculation:
total magnetization = 1.27 μB/f.u.
formation energy (no corrections) = 10.0 kcal/mol of atoms
VASP energy = -25.2 eV per cell
energy above the lowest structure with this stoichiometry = 36.8 meV per atom

```
4
Lattice="-2.628 1.495 0.296 -0.462 -1.359 2.762 5.593 6.382 4.076" Properties=species:S:1:pos:R:3 pbc="T T T"
Tl 3.547 3.988 4.310
Te -1.576 1.839 0.641
Fe 1.438 3.797 2.109
W -0.703 2.926 3.076
```